Record 1
{"formula": "Be2CoPb", "functional": "GGA-PBE", "state": "optimized geometry", "volume_a3_per_atom": 14.5, "final_energy_ev_per_fu": -17.01, "magnetic_moment_mub_per_atom": 0.100, "delta_e_f_ev_per_atom": 0.314, "cell": [[2.906, 0.000, 0.000], [0.000, 2.906, 0.000], [0.000, 0.000, 6.864]], "species": ["Be", "Be", "Co", "Pb"], "fractional_positions": [[0.000, 0.000, 0.149], [0.000, 0.000, 0.851], [0.500, 0.500, 0.000], [0.500, 0.500, 0.500]]}

Record 2
{"formula": "Be2CoPb", "functional": "GGA-PBE", "state": "optimized geometry", "volume_a3_per_atom": 14.3, "final_energy_ev_per_fu": -16.38, "magnetic_moment_mub_per_atom": 0.053, "delta_e_f_ev_per_atom": 0.471, "cell": [[2.965, 0.000, 0.000], [0.000, 3.880, 0.000], [-0.836, 0.000, 4.964]], "species": ["Be", "Be", "Co", "Pb"], "fractional_positions": [[0.199, 0.000, 0.342], [0.801, 0.000, 0.658], [0.500, 0.500, 0.500], [0.000, 0.500, 0.000]]}

Record 3
{"formula": "Be3CoPb", "functional": "GGA-PBE", "state": "optimized geometry", "volume_a3_per_atom": 19.1, "de_polymorph_ev_per_atom": 1.3120, "final_energy_ev_per_fu": -12.97, "magnetic_moment_mub_per_atom": 0.293, "delta_e_f_ev_per_atom": 1.805, "cell": [[4.573, 0.000, 0.000], [0.000, 4.573, 0.000], [0.000, 0.000, 4.573]], "species": ["Be", "Be", "Be", "Co", "Pb"], "fractional_positions": [[0.000, 0.000, 0.500], [0.000, 0.500, 0.000], [0.500, 0.000, 0.000], [0.500, 0.500, 0.500], [0.000, 0.000, 0.000]]}

Record 4
{"formula": "Be3CoPb", "functional": "GGA-PBE", "state": "optimized geometry", "volume_a3_per_atom": 14.3, "de_polymorph_ev_per_atom": 0.0000, "final_energy_ev_per_fu": -19.53, "magnetic_moment_mub_per_atom": 0.000, "delta_e_f_ev_per_atom": 0.492, "cell": [[4.154, 0.000, 0.000], [0.000, 4.154, 0.000], [0.000, 0.000, 4.154]], "species": ["Be", "Be", "Be", "Co", "Pb"], "fractional_positions": [[0.000, 0.000, 0.500], [0.000, 0.500, 0.000], [0.500, 0.000, 0.000], [0.000, 0.000, 0.000], [0.500, 0.500, 0.500]]}

Record 5
{"formula": "BeCoPb2", "functional": "GGA-PBE", "state": "optimized geometry", "volume_a3_per_atom": 21.1, "final_energy_ev_per_fu": -14.92, "magnetic_moment_mub_per_atom": 0.221, "delta_e_f_ev_per_atom": 0.832, "cell": [[6.997, 0.000, 0.000], [0.000, 6.997, 0.000], [0.000, 0.000, 6.908]], "species": ["Be", "Be", "Be", "Be", "Co", "Co", "Co", "Co", "Pb", "Pb", "Pb", "Pb", "Pb", "Pb", "Pb", "Pb"], "fractional_positions": [[0.000, 0.000, 0.000], [0.000, 0.500, 0.250], [0.500, 0.000, 0.750], [0.500, 0.500, 0.500], [0.000, 0.000, 0.500], [0.000, 0.500, 0.750], [0.500, 0.000, 0.250], [0.500, 0.500, 0.000], [0.244, 0.250, 0.125], [0.250, 0.744, 0.375], [0.250, 0.756, 0.875], [0.256, 0.250, 0.625], [0.744, 0.750, 0.625], [0.750, 0.244, 0.875], [0.750, 0.256, 0.375], [0.756, 0.750, 0.125]]}

Record 6
{"formula": "BeCoPb2", "functional": "GGA-PBE", "state": "optimized geometry", "volume_a3_per_atom": 19.3, "final_energy_ev_per_fu": -15.41, "magnetic_moment_mub_per_atom": 0.213, "delta_e_f_ev_per_atom": 0.709, "cell": [[6.747, 0.000, 0.000], [0.000, 6.749, 0.000], [-0.612, 0.000, 3.395]], "species": ["Be", "Be", "Co", "Co", "Pb", "Pb", "Pb", "Pb"], "fractional_positions": [[0.000, 0.000, 0.000], [0.500, 0.500, 0.000], [0.000, 0.500, 0.000], [0.500, 0.000, 0.000], [0.250, 0.250, 0.500], [0.250, 0.750, 0.500], [0.750, 0.250, 0.500], [0.750, 0.750, 0.500]]}

Record 7
{"formula": "BeCoPb3", "functional": "GGA-PBE", "state": "optimized geometry", "volume_a3_per_atom": 26.1, "de_polymorph_ev_per_atom": 0.0000, "final_energy_ev_per_fu": -18.53, "magnetic_moment_mub_per_atom": 0.134, "delta_e_f_ev_per_atom": 0.685, "cell": [[5.075, 0.000, 0.000], [0.000, 5.075, 0.000], [0.000, 0.000, 5.075]], "species": ["Be", "Co", "Pb", "Pb", "Pb"], "fractional_positions": [[0.000, 0.000, 0.000], [0.500, 0.500, 0.500], [0.000, 0.500, 0.500], [0.500, 0.000, 0.500], [0.500, 0.500, 0.000]]}

Record 8
{"formula": "Be2CoPb", "functional": "GGA-PBE", "state": "optimized geometry", "volume_a3_per_atom": 13.0, "final_energy_ev_per_fu": -16.36, "magnetic_moment_mub_per_atom": 0.000, "delta_e_f_ev_per_atom": 0.478, "cell": [[3.703, 0.000, 0.000], [0.000, 3.703, 0.000], [0.000, 0.000, 7.576]], "species": ["Be", "Be", "Be", "Be", "Co", "Co", "Pb", "Pb"], "fractional_positions": [[0.000, 0.000, 0.000], [0.000, 0.500, 0.250], [0.500, 0.000, 0.750], [0.500, 0.500, 0.500], [0.000, 0.500, 0.750], [0.500, 0.000, 0.250], [0.000, 0.000, 0.500], [0.500, 0.500, 0.000]]}